[1]
First-principles (meta-GGA SCAN) data for a PBEsol-optimized structure of HfAlSn2Pt, as listed in Alexandria. Values from VASP.

The structure in Quantum ESPRESSO input format:
```
&SYSTEM
  ibrav = 0, nat = 5, ntyp = 4
/
ATOMIC_SPECIES
Hf 178.49 Hf.upf
Al 26.98 Al.upf
Sn 118.71 Sn.upf
Pt 195.08 Pt.upf
ATOMIC_POSITIONS crystal
Hf 0.000 0.000 0.000
Al 0.500 0.500 0.500
Sn 0.000 0.500 0.000
Sn 0.500 0.000 0.000
Pt 0.000 0.000 0.500
CELL_PARAMETERS angstrom
5.448 0.000 0.000
0.000 5.448 0.000
0.000 0.000 4.864
```

- final energy (eV per cell) = -209.22
- DOS at the Fermi energy (states/eV per cell) = 2.7
- magnetic moment (μB/cell) = 0.00
- crystal system = tetragonal
- DFT formation energy (eV per formula unit) = 3.24

[2]
First-principles (meta-GGA SCAN) data for a PBEsol-optimized structure of HfAlZnPt2, as listed in Alexandria. Values from VASP.

The structure in Quantum ESPRESSO input format:
```
&SYSTEM
  ibrav = 0, nat = 5, ntyp = 4
/
ATOMIC_SPECIES
Hf 178.49 Hf.upf
Al 26.98 Al.upf
Zn 65.41 Zn.upf
Pt 195.08 Pt.upf
ATOMIC_POSITIONS crystal
Hf 0.000 0.000 0.000
Al 0.000 0.000 0.500
Zn 0.500 0.500 0.000
Pt 0.000 0.500 0.500
Pt 0.500 0.000 0.500
CELL_PARAMETERS angstrom
4.471 0.000 0.000
0.000 4.471 0.000
0.000 0.000 4.935
```

- final energy (eV per cell) = -221.99
- DOS at the Fermi energy (states/eV per cell) = 6.8
- magnetic moment (μB/cell) = 0.00
- crystal system = tetragonal
- DFT formation energy (eV per formula unit) = 2.34